NaSnPdPt: relaxed, PBE.

The space group is F-43m (No. 216) and the conventional cell measures 6.5496, 6.5496 and 6.5496 Å, with angles of 90.00, 90.00 and 90.00 degrees. The distinct sites, in fractional coordinates, are Na at (0.0000, 0.0000, 0.0000), Sn at (0.0000, 0.0000, 0.5000), Pd at (0.2500, 0.2500, 0.7500) and Pt at (0.2500, 0.2500, 0.2500).

For the density of states at the Fermi level, the calculation gives 1.5 states/eV/f.u. As for the formation energy: -383 meV/atom.



NaTbPdPt: relaxed, PBE.

The space group is F-43m (No. 216) and the conventional cell measures 6.8313, 6.8313 and 6.8313 Å, with angles of 90.00, 90.00 and 90.00 degrees. The distinct sites, in fractional coordinates, are Na at (0.0000, 0.0000, 0.0000), Tb at (0.0000, 0.0000, 0.5000), Pd at (0.2500, 0.2500, 0.2500) and Pt at (0.2500, 0.2500, 0.7500).

For the density of states at the Fermi level, the calculation gives 0.5 states/eV/f.u. As for the formation energy: -650 meV/atom.



NaTc2PdPt: relaxed, PBE.

The space group is P4/mmm (No. 123) and the conventional cell measures 4.5061, 4.5061 and 4.5019 Å, with angles of 90.00, 90.00 and 90.00 degrees. The distinct sites, in fractional coordinates, are Na at (0.0000, 0.0000, 0.0000), Tc at (0.0000, 0.5000, 0.0000), Pd at (0.5000, 0.5000, 0.5000) and Pt at (0.0000, 0.0000, 0.5000).

For the density of states at the Fermi level, the calculation gives 6.5 states/eV/f.u. As for the energy relative to the lowest polymorph listed for this composition: 14.88 kcal/mol of atoms. As for the formation energy: 2194 meV/atom.



NaTc2PdPt: relaxed, PBE.

The space group is P4/mmm (No. 123) and the conventional cell measures 4.8809, 4.8809 and 5.0382 Å, with angles of 90.00, 90.00 and 90.00 degrees. The distinct sites, in fractional coordinates, are Na at (0.0000, 0.0000, 0.0000), Tc at (0.0000, 0.5000, 0.5000), Pd at (0.5000, 0.5000, 0.5000) and Pt at (0.5000, 0.5000, 0.0000).

For the density of states at the Fermi level, the calculation gives 5.8 states/eV/f.u. As for the energy relative to the lowest polymorph listed for this composition: 0.00 kcal/mol of atoms. As for the formation energy: 1549 meV/atom.



Na2Tl6PdPt: relaxed, PBE.

The space group is R-3m (No. 166, hexagonal axes) and the conventional cell measures 8.4307, 8.4307 and 29.4913 Å, with angles of 90.00, 90.00 and 120.00 degrees. The distinct sites, in fractional coordinates, are Na at (0.0000, 0.0000, 0.1272), Na at (0.0000, 0.0000, 0.2982), Tl at (0.0126, 0.5063, 0.7125), Tl at (0.0238, 0.5119, 0.8740), Pd at (0.0000, 0.0000, 0.0000), Pd at (0.0000, 0.0000, 0.5000) and Pt at (0.0000, 0.0000, 0.4077).

For the density of states at the Fermi level, the calculation gives 3.9 states/eV/f.u. As for the formation energy: -63 meV/atom.



Na2Tl2PdPt: relaxed, PBE.

The space group is Ibam (No. 72) and the conventional cell measures 6.2110, 14.6775 and 6.1843 Å, with angles of 90.00, 90.00 and 90.00 degrees. The distinct sites, in fractional coordinates, are Na at (0.2501, 0.1568, 0.0000), Tl at (0.2503, 0.1201, 0.5000), Pd at (0.0000, 0.0000, 0.2500) and Pt at (0.0000, 0.5000, 0.2500).

For the density of states at the Fermi level, the calculation gives 0.8 states/eV/f.u. As for the formation energy: -215 meV/atom.